[1]
Density functional theory data (PBE) for crystalline BaLiInPd3 at its relaxed geometry.

Values from the calculation:
- calculated formation energy (eV/atom) = -0.404
- symmetry = No. 63

Structure (CIF):
```
data_BaLiInPd3
_chemical_formula_sum 'Ba2 Li2 In2 Pd6'
_cell_length_a 6.8880
_cell_length_b 6.1749
_cell_length_c 6.8681
_cell_angle_alpha 116.71
_cell_angle_beta 90.00
_cell_angle_gamma 90.00
_space_group_name_H-M_alt 'P 1'
_space_group_IT_number 1
loop_
_space_group_symop_operation_xyz
'x,y,z'
loop_
_atom_site_label
_atom_site_type_symbol
_atom_site_fract_x
_atom_site_fract_y
_atom_site_fract_z
Ba1 Ba 0.7500 0.3049 0.6098
Ba2 Ba 0.2500 0.6951 0.3902
Li1 Li 0.2500 0.9386 0.8772
Li2 Li 0.7500 0.0614 0.1228
In1 In 0.2500 0.3737 0.7474
In2 In 0.7500 0.6263 0.2526
Pd1 Pd 0.2500 0.1500 0.2999
Pd2 Pd 0.0000 0.2560 0.0000
Pd3 Pd 0.5000 0.7440 0.0000
Pd4 Pd 0.5000 0.2560 0.0000
Pd5 Pd 0.0000 0.7440 0.0000
Pd6 Pd 0.7500 0.8500 0.7001
```

[2]
Density functional theory data (PBE) for crystalline Ba2LiIn4Pd3 at its relaxed geometry.

Values from the calculation:
- calculated formation energy (eV/atom) = -0.518
- symmetry = No. 115

Structure (CIF):
```
data_Ba2LiIn4Pd3
_chemical_formula_sum 'Ba2 Li1 In4 Pd3'
_cell_length_a 4.8950
_cell_length_b 4.8950
_cell_length_c 10.7039
_cell_angle_alpha 90.00
_cell_angle_beta 90.00
_cell_angle_gamma 90.00
_space_group_name_H-M_alt 'P 1'
_space_group_IT_number 1
loop_
_space_group_symop_operation_xyz
'x,y,z'
loop_
_atom_site_label
_atom_site_type_symbol
_atom_site_fract_x
_atom_site_fract_y
_atom_site_fract_z
Ba1 Ba 0.5000 0.0000 0.2571
Ba2 Ba 0.0000 0.5000 0.7429
Li1 Li 0.5000 0.5000 0.5000
In1 In 0.5000 0.5000 0.0000
In2 In 0.0000 0.0000 0.0000
In3 In 0.5000 0.0000 0.6190
In4 In 0.0000 0.5000 0.3810
Pd1 Pd 0.0000 0.0000 0.5000
Pd2 Pd 0.5000 0.0000 0.8748
Pd3 Pd 0.0000 0.5000 0.1252
```

[3]
Density functional theory data (PBE) for crystalline BaLi2InPd at its relaxed geometry.

Values from the calculation:
- calculated formation energy (eV/atom) = -0.301
- symmetry = No. 123

Structure (CIF):
```
data_BaLi2InPd
_chemical_formula_sum 'Ba1 Li2 In1 Pd1'
_cell_length_a 5.0959
_cell_length_b 5.0959
_cell_length_c 5.2233
_cell_angle_alpha 90.00
_cell_angle_beta 90.00
_cell_angle_gamma 90.00
_space_group_name_H-M_alt 'P 1'
_space_group_IT_number 1
loop_
_space_group_symop_operation_xyz
'x,y,z'
loop_
_atom_site_label
_atom_site_type_symbol
_atom_site_fract_x
_atom_site_fract_y
_atom_site_fract_z
Li1 Li 0.0000 0.5000 0.0000
Li2 Li 0.5000 0.0000 0.0000
Ba1 Ba 0.5000 0.5000 0.5000
Pd1 Pd 0.0000 0.0000 0.0000
In1 In 0.0000 0.0000 0.5000
```

[4]
Density functional theory data (PBE) for crystalline Ba2LiIn3Pd4 at its relaxed geometry.

Values from the calculation:
- calculated formation energy (eV/atom) = -0.562
- symmetry = No. 115

Structure (CIF):
```
data_Ba2LiIn3Pd4
_chemical_formula_sum 'Ba2 Li1 In3 Pd4'
_cell_length_a 4.8257
_cell_length_b 4.8257
_cell_length_c 10.6628
_cell_angle_alpha 90.00
_cell_angle_beta 90.00
_cell_angle_gamma 90.00
_space_group_name_H-M_alt 'P 1'
_space_group_IT_number 1
loop_
_space_group_symop_operation_xyz
'x,y,z'
loop_
_atom_site_label
_atom_site_type_symbol
_atom_site_fract_x
_atom_site_fract_y
_atom_site_fract_z
Ba1 Ba 0.5000 0.0000 0.2433
Ba2 Ba 0.0000 0.5000 0.7567
Li1 Li 0.5000 0.5000 0.5000
In1 In 0.0000 0.0000 0.5000
In2 In 0.5000 0.0000 0.8815
In3 In 0.0000 0.5000 0.1185
Pd1 Pd 0.5000 0.5000 0.0000
Pd2 Pd 0.0000 0.0000 0.0000
Pd3 Pd 0.5000 0.0000 0.6246
Pd4 Pd 0.0000 0.5000 0.3754
```

[5]
Density functional theory data (PBE) for crystalline Ba2LiIn6Pd at its relaxed geometry.

Values from the calculation:
- calculated formation energy (eV/atom) = -0.302
- symmetry = No. 139

Structure (CIF):
```
data_Ba2LiIn6Pd
_chemical_formula_sum 'Ba2 Li1 In6 Pd1'
_cell_length_a 7.4329
_cell_length_b 7.4330
_cell_length_c 7.4435
_cell_angle_alpha 59.93
_cell_angle_beta 59.93
_cell_angle_gamma 89.83
_space_group_name_H-M_alt 'P 1'
_space_group_IT_number 1
loop_
_space_group_symop_operation_xyz
'x,y,z'
loop_
_atom_site_label
_atom_site_type_symbol
_atom_site_fract_x
_atom_site_fract_y
_atom_site_fract_z
Ba1 Ba 0.2501 0.7499 0.5000
Ba2 Ba 0.7499 0.2501 0.5000
Li1 Li 0.5000 0.5000 0.0000
In1 In 0.2557 0.7443 0.0000
In2 In 0.7446 0.7446 0.9993
In3 In 0.2560 0.2560 0.4879
In4 In 0.7443 0.2557 0.0000
In5 In 0.2554 0.2554 0.0007
In6 In 0.7440 0.7440 0.5121
Pd1 Pd 0.0000 0.0000 0.0000
```

[6]
Density functional theory data (PBE) for crystalline BaLiIn2Pd at its relaxed geometry.

Values from the calculation:
- calculated formation energy (eV/atom) = -0.387
- symmetry = No. 123

Structure (CIF):
```
data_BaLiIn2Pd
_chemical_formula_sum 'Ba1 Li1 In2 Pd1'
_cell_length_a 5.2365
_cell_length_b 5.2365
_cell_length_c 5.1318
_cell_angle_alpha 90.00
_cell_angle_beta 90.00
_cell_angle_gamma 90.00
_space_group_name_H-M_alt 'P 1'
_space_group_IT_number 1
loop_
_space_group_symop_operation_xyz
'x,y,z'
loop_
_atom_site_label
_atom_site_type_symbol
_atom_site_fract_x
_atom_site_fract_y
_atom_site_fract_z
Li1 Li 0.0000 0.0000 0.5000
Ba1 Ba 0.5000 0.5000 0.5000
Pd1 Pd 0.0000 0.0000 0.0000
In1 In 0.0000 0.5000 0.0000
In2 In 0.5000 0.0000 0.0000
```

[7]
Density functional theory data (PBE) for crystalline Ba2LiInPd6 at its relaxed geometry.

Values from the calculation:
- calculated formation energy (eV/atom) = -0.396
- symmetry = No. 2

Structure (CIF):
```
data_Ba2LiInPd6
_chemical_formula_sum 'Ba2 Li1 In1 Pd6'
_cell_length_a 6.5839
_cell_length_b 7.2038
_cell_length_c 7.2061
_cell_angle_alpha 54.77
_cell_angle_beta 62.14
_cell_angle_gamma 89.67
_space_group_name_H-M_alt 'P 1'
_space_group_IT_number 1
loop_
_space_group_symop_operation_xyz
'x,y,z'
loop_
_atom_site_label
_atom_site_type_symbol
_atom_site_fract_x
_atom_site_fract_y
_atom_site_fract_z
Ba1 Ba 0.2212 0.7776 0.5567
Ba2 Ba 0.7788 0.2224 0.4433
Li1 Li 0.0000 0.0000 0.0000
In1 In 0.5000 0.5000 0.0000
Pd1 Pd 0.2439 0.7606 0.0954
Pd2 Pd 0.6681 0.7582 0.0914
Pd3 Pd 0.2434 0.3390 0.5164
Pd4 Pd 0.7561 0.2394 0.9046
Pd5 Pd 0.3319 0.2418 0.9086
Pd6 Pd 0.7566 0.6610 0.4836
```

[8]
Density functional theory data (PBE) for crystalline BaLiPmIn at its relaxed geometry.

Values from the calculation:
- calculated formation energy (eV/atom) = -0.131
- symmetry = No. 216

Structure (CIF):
```
data_BaLiPmIn
_chemical_formula_sum 'Ba1 Li1 Pm1 In1'
_cell_length_a 5.7225
_cell_length_b 5.7225
_cell_length_c 5.7225
_cell_angle_alpha 60.00
_cell_angle_beta 60.00
_cell_angle_gamma 60.00
_space_group_name_H-M_alt 'P 1'
_space_group_IT_number 1
loop_
_space_group_symop_operation_xyz
'x,y,z'
loop_
_atom_site_label
_atom_site_type_symbol
_atom_site_fract_x
_atom_site_fract_y
_atom_site_fract_z
In1 In 0.5000 0.5000 0.5000
Li1 Li 0.0000 0.0000 0.0000
Ba1 Ba 0.2500 0.2500 0.2500
Pm1 Pm 0.7500 0.7500 0.7500
```